A relaxed SrLiRe crystal. Source: Alexandria via LeMat-Bulk, functional GGA-PBE.

Calculated values
The value obtained for the total energy is -3.53 eV per atom. For the energy above the most stable polymorph in this dataset, the calculation gives 0.918 eV per atom.

Geometry as POSCAR:
```
SrLiRe
1.0
0.000 3.492 3.492
3.492 0.000 3.492
3.492 3.492 0.000
Sr Li Re
1 1 1
Direct
0.000 0.000 0.000
0.750 0.750 0.750
0.250 0.250 0.250
```